A geometry-optimized ErCr2AsO8 structure, computed with GGA+U.

```
ErCr2AsO8
1.0
3.324 -3.205 0.000
3.324 3.205 0.000
-0.180 0.000 6.232
Er Cr As O
1 2 1 8
direct
0.000 0.000 0.000
0.499 0.499 0.742
0.501 0.501 0.258
0.000 0.000 0.500
0.195 0.803 0.286
0.197 0.805 0.714
0.301 0.301 0.505
0.328 0.328 0.010
0.672 0.672 0.990
0.699 0.699 0.495
0.803 0.195 0.286
0.805 0.197 0.714
```

## Properties
* DFT total energy: -85.3 eV per formula unit
* density of states at the Fermi level: 0.1 states/eV per cell
* spin magnetization: 0.333 μB per atom

=====

A geometry-optimized ErCrAsO5 structure, computed with GGA+U.

```
ErCrAsO5
1.0
3.234 -4.686 0.000
3.234 4.686 0.000
-2.689 0.000 7.397
Er Cr As O
2 2 2 10
direct
0.000 0.000 0.000
0.000 0.000 0.500
0.309 0.691 0.750
0.691 0.309 0.250
0.314 0.686 0.250
0.686 0.314 0.750
0.040 0.648 0.330
0.102 0.898 0.750
0.271 0.429 0.077
0.352 0.960 0.170
0.429 0.271 0.577
0.571 0.729 0.423
0.648 0.040 0.830
0.729 0.571 0.923
0.898 0.102 0.250
0.960 0.352 0.670
```

## Properties
* DFT total energy: -58.0 eV per formula unit
* density of states at the Fermi level: 0.0 states/eV per cell
* spin magnetization: 0.500 μB per atom

=====

Which formula does entry 1 have?
ErCr2AsO8

=====

Which value of DFT total energy does entry 2 give?
-58.0 eV per formula unit

=====

DFT total energy of number 2 (ErCrAsO5)?
-58.0 eV per formula unit